Here is a relaxed Cs3LiZr3Se8 crystal from the Alexandria database. Energies are from PBE.

The structure belongs to space group R-3m (No. 166, hexagonal axes); the cell edges are 7.9959, 7.9959 and 25.2650 Å and the angles 90.00°, 90.00° and 120.00°. The distinct sites, in fractional coordinates, are Cs at (0.0000, 0.5000, 0.0000), Li at (0.0000, 0.0000, 0.5000), Zr at (0.0000, 0.5000, 0.5000), Se at (0.0000, 0.0000, 0.2278) and Se at (0.0144, 0.5072, 0.7745).

The formation energy (no corrections) comes out at -1302 meV/atom. For the calculated volume, the calculation gives 1399.07 Å³/cell.

=====

Here is a relaxed CsLi3Si crystal from the Alexandria database. Energies are from PBE.

The structure belongs to space group Pm-3m (No. 221); the cell edges are 5.0738, 5.0738 and 5.0738 Å and the angles 90.00°, 90.00° and 90.00°. The distinct sites, in fractional coordinates, are Cs at (0.0000, 0.0000, 0.0000), Li at (0.0000, 0.0000, 0.5000) and Si at (0.5000, 0.5000, 0.5000).

The formation energy (no corrections) comes out at 1106 meV/atom. Its energy above the lowest structure with this stoichiometry is 1.179 eV/atom. For the calculated volume, the calculation gives 130.62 Å³/cell.

=====

Here is a relaxed CsLi2Si2 crystal from the Alexandria database. Energies are from PBE.

The structure belongs to space group P4/mbm (No. 127); the cell edges are 8.4812, 8.4812 and 3.3107 Å and the angles 90.00°, 90.00° and 90.00°. The distinct sites, in fractional coordinates, are Cs at (0.0000, 0.0000, 0.0000), Li at (0.1495, 0.3505, 0.0000) and Si at (0.0999, 0.5999, 0.5000).

The formation energy (no corrections) comes out at 158 meV/atom. Its energy above the lowest structure with this stoichiometry is 0.099 eV/atom. For the calculated volume, the calculation gives 238.14 Å³/cell.

=====

Here is a relaxed Cs2LiSi crystal from the Alexandria database. Energies are from PBE.

The structure belongs to space group Fm-3m (No. 225); the cell edges are 8.9838, 8.9838 and 8.9838 Å and the angles 90.00°, 90.00° and 90.00°. The distinct sites, in fractional coordinates, are Cs at (0.2500, 0.2500, 0.2500), Li at (0.0000, 0.0000, 0.0000) and Si at (0.0000, 0.0000, 0.5000).

The formation energy (no corrections) comes out at 523 meV/atom. For the calculated volume, the calculation gives 725.08 Å³/cell.

=====

Here is a relaxed CsLi3Si crystal from the Alexandria database. Energies are from PBE.

The structure belongs to space group Pm-3m (No. 221); the cell edges are 5.1473, 5.1473 and 5.1473 Å and the angles 90.00°, 90.00° and 90.00°. The distinct sites, in fractional coordinates, are Cs at (0.0000, 0.0000, 0.0000), Li at (0.0000, 0.5000, 0.5000) and Si at (0.5000, 0.5000, 0.5000).

The formation energy (no corrections) comes out at -73 meV/atom. Its energy above the lowest structure with this stoichiometry is 0.000 eV/atom. For the calculated volume, the calculation gives 136.38 Å³/cell.

=====

Here is a relaxed CsLi2Si2 crystal from the Alexandria database. Energies are from PBE.

The structure belongs to space group I4/mmm (No. 139); the cell edges are 5.1689, 5.1689 and 9.5924 Å and the angles 90.00°, 90.00° and 90.00°. The distinct sites, in fractional coordinates, are Cs at (0.0000, 0.0000, 0.0000), Li at (0.0000, 0.5000, 0.2500) and Si at (0.0000, 0.0000, 0.3838).

The formation energy (no corrections) comes out at 59 meV/atom. Its energy above the lowest structure with this stoichiometry is 0.000 eV/atom. For the calculated volume, the calculation gives 256.28 Å³/cell.

=====

Here is a relaxed CsLiSi2 crystal from the Alexandria database. Energies are from PBE.

The structure belongs to space group Fm-3m (No. 225); the cell edges are 7.5269, 7.5269 and 7.5269 Å and the angles 90.00°, 90.00° and 90.00°. The distinct sites, in fractional coordinates, are Cs at (0.0000, 0.0000, 0.0000), Li at (0.0000, 0.0000, 0.5000) and Si at (0.2500, 0.2500, 0.2500).

The formation energy (no corrections) comes out at 858 meV/atom. Its energy above the lowest structure with this stoichiometry is 0.553 eV/atom. For the calculated volume, the calculation gives 426.42 Å³/cell.

=====

Here is a relaxed CsLiSi2 crystal from the Alexandria database. Energies are from PBE.

The structure belongs to space group I4_1/amd (No. 141, origin choice 2); the cell edges are 4.9186, 4.9186 and 19.7065 Å and the angles 90.00°, 90.00° and 90.00°. The distinct sites, in fractional coordinates, are Cs at (0.0000, 0.2500, 0.3750), Li at (0.0000, 0.2500, 0.8750) and Si at (0.0000, 0.0000, 0.0000).

The formation energy (no corrections) comes out at 305 meV/atom. Its energy above the lowest structure with this stoichiometry is 0.000 eV/atom. For the calculated volume, the calculation gives 476.75 Å³/cell.

=====

Number 1: calculated total energy -77.53 eV/f.u.. Number 2: calculated total energy -6.49 eV/f.u.. Number 3: calculated total energy -14.74 eV/f.u.. Number 4: calculated total energy -6.95 eV/f.u.. Number 5: calculated total energy -12.38 eV/f.u.. Number 6: calculated total energy -15.23 eV/f.u.. Number 7: calculated total energy -10.18 eV/f.u.. Number 8: calculated total energy -12.40 eV/f.u..